! Hg3SeCl4, optimized geometry, DFT PBE; values from VASP
! D(E_F) (states/eV/f.u.): 0.000
! Space-group type: Cc (9)
! Formation energy without anion corrections (eV/atom): -0.492
! Calculated total energy (eV per formula unit): -15.71
! Crystal system: monoclinic
&SYSTEM
  ibrav = 0, nat = 16, ntyp = 3
/
ATOMIC_SPECIES
Hg 200.59 Hg.upf
Se 78.96 Se.upf
Cl 35.45 Cl.upf
CELL_PARAMETERS angstrom
6.989 0.000 0.000
-3.495 5.709 -3.033
0.000 0.258 11.893
ATOMIC_POSITIONS angstrom
Hg 3.458 1.871 10.014
Hg 3.531 1.742 4.067
Hg -0.213 3.934 5.279
Hg 0.213 3.805 -0.667
Hg 3.010 4.803 6.968
Hg 3.979 4.674 1.021
Se 4.793 0.274 8.466
Se 2.196 0.145 2.519
Cl 0.875 1.711 10.787
Cl -0.875 1.583 4.840
Cl 2.369 2.141 6.369
Cl 4.621 2.012 0.422
Cl -1.655 4.092 7.634
Cl 1.655 3.963 1.687
Cl 4.357 4.283 3.781
Cl 2.632 4.154 -2.165